Record 1
This record from the Alexandria database describes LaPbClO2 after structural relaxation. The functional is GGA-PBE.

```
data_LaPbClO2
_chemical_formula_sum 'La2 Pb2 Cl2 O4'
_cell_length_a 6.992
_cell_length_b 4.140
_cell_length_c 8.434
_cell_angle_alpha 90.00
_cell_angle_beta 107.33
_cell_angle_gamma 90.00
_symmetry_space_group_name_H-M 'P 1 21/m 1'
_symmetry_Int_Tables_number 11
loop_
_symmetry_equiv_pos_as_xyz
'x,y,z'
'-x,-y,-z'
'-x,y+1/2,-z'
'x,-y+1/2,z'
loop_
_atom_site_label
_atom_site_fract_x
_atom_site_fract_y
_atom_site_fract_z
_atom_site_occupancy
La1 0.167 0.250 0.408 1
Pb1 0.180 0.250 0.928 1
Cl1 0.446 0.750 0.306 1
O1 0.001 0.750 0.877 1
O2 0.004 0.250 0.619 1
```

Values from the calculation:
N(E_F) = 0.0 states/eV/cell
energy relative to the lowest polymorph listed for this composition = 0.00 kJ/mol of atoms
V = 233.0 Å³ per cell
formation energy without anion corrections = -2.3602 eV/atom

Record 2
This record from the Alexandria database describes NiSe2Br after structural relaxation. The functional is GGA-PBE.

```
data_NiSe2Br
_chemical_formula_sum 'Ni4 Se8 Br4'
_cell_length_a 6.717
_cell_length_b 6.717
_cell_length_c 6.717
_cell_angle_alpha 90.00
_cell_angle_beta 90.00
_cell_angle_gamma 90.00
_symmetry_space_group_name_H-M 'F -4 3 m'
_symmetry_Int_Tables_number 216
_symmetry_space_group_name_Hall 'F -4 2 3'
loop_
_atom_site_label
_atom_site_fract_x
_atom_site_fract_y
_atom_site_fract_z
_atom_site_occupancy
Ni1 0.000 0.000 0.000 1
Se1 0.000 0.000 0.500 1
Se2 0.250 0.250 0.250 1
Br1 0.250 0.250 0.750 1
```

Values from the calculation:
N(E_F) = 17.0 states/eV/cell
energy relative to the lowest polymorph listed for this composition = 91.78 kJ/mol of atoms
V = 303.0 Å³ per cell
formation energy without anion corrections = 0.7132 eV/atom

Record 3
This record from the Alexandria database describes TbMgAl after structural relaxation. The functional is GGA-PBE.

```
data_TbMgAl
_chemical_formula_sum 'Tb1 Mg1 Al1'
_cell_length_a 4.8240
_cell_length_b 4.8240
_cell_length_c 3.5383
_cell_angle_alpha 90.00
_cell_angle_beta 90.00
_cell_angle_gamma 120.00
_symmetry_space_group_name_H-M 'P -6 m 2'
_symmetry_Int_Tables_number 187
_symmetry_space_group_name_Hall 'P -6 2'
loop_
_atom_site_label
_atom_site_fract_x
_atom_site_fract_y
_atom_site_fract_z
_atom_site_occupancy
Tb1 0.0000 0.0000 0.0000 1
Mg1 0.3333 0.6667 0.5000 1
Al1 0.6667 0.3333 0.5000 1
```

Values from the calculation:
N(E_F) = 2.9 states/eV/cell
energy of formation from the pure elements = -0.25 eV per atom
V = 71.3 Å³ per cell

Record 4
This record from the Alexandria database describes Ba3Sr9Ac2 after structural relaxation. The functional is GGA-PBE.

```
data_Ba3Sr9Ac2
_chemical_formula_sum 'Ba6 Sr18 Ac4'
_cell_length_a 4.091
_cell_length_b 12.446
_cell_length_c 34.057
_cell_angle_alpha 90.00
_cell_angle_beta 90.00
_cell_angle_gamma 90.00
_symmetry_space_group_name_H-M 'I m m m'
_symmetry_Int_Tables_number 71
_symmetry_space_group_name_Hall '-I 2 2'
loop_
_atom_site_label
_atom_site_fract_x
_atom_site_fract_y
_atom_site_fract_z
_atom_site_occupancy
Ba1 0.000 0.000 0.000 1
Ba2 0.000 0.000 0.327 1
Sr1 0.000 0.163 0.209 1
Sr2 0.000 0.328 0.395 1
Sr3 0.000 0.500 0.000 1
Ac1 0.000 0.247 0.500 1
```

Values from the calculation:
N(E_F) = 47.4 states/eV/cell
energy of formation from the pure elements = 0.34 eV per atom
V = 1734.0 Å³ per cell

Record 5
This record from the Alexandria database describes TaTl2Mo after structural relaxation. The functional is GGA-PBE.

```
data_TaTl2Mo
_chemical_formula_sum 'Ta2 Tl4 Mo2'
_cell_length_a 10.376
_cell_length_b 2.963
_cell_length_c 5.292
_cell_angle_alpha 90.00
_cell_angle_beta 94.27
_cell_angle_gamma 90.00
_symmetry_space_group_name_H-M 'C 1 m 1'
_symmetry_Int_Tables_number 8
loop_
_symmetry_equiv_pos_as_xyz
'x,y,z'
'x,-y,z'
'x+1/2,y+1/2,z'
'x+1/2,-y+1/2,z'
loop_
_atom_site_label
_atom_site_fract_x
_atom_site_fract_y
_atom_site_fract_z
_atom_site_occupancy
Ta1 0.000 0.000 0.000 1
Tl1 0.002 0.500 0.516 1
Tl2 0.248 0.500 0.268 1
Mo1 0.244 0.000 0.784 1
```

Values from the calculation:
N(E_F) = 3.5 states/eV/cell
energy of formation from the pure elements = 0.74 eV per atom
energy relative to the lowest polymorph listed for this composition = 30.71 kJ/mol of atoms
V = 162.2 Å³ per cell

Record 6
This record from the Alexandria database describes NbCdP2O8 after structural relaxation. The functional is GGA-PBE.

```
data_NbCdP2O8
_chemical_formula_sum 'Nb2 Cd2 P4 O16'
_cell_length_a 8.303
_cell_length_b 5.381
_cell_length_c 7.176
_cell_angle_alpha 90.00
_cell_angle_beta 91.41
_cell_angle_gamma 90.00
_symmetry_space_group_name_H-M 'C 1 2/m 1'
_symmetry_Int_Tables_number 12
loop_
_symmetry_equiv_pos_as_xyz
'x,y,z'
'-x,-y,-z'
'-x,y,-z'
'x,-y,z'
'x+1/2,y+1/2,z'
'-x+1/2,-y+1/2,-z'
'-x+1/2,y+1/2,-z'
'x+1/2,-y+1/2,z'
loop_
_atom_site_label
_atom_site_fract_x
_atom_site_fract_y
_atom_site_fract_z
_atom_site_occupancy
Nb1 0.000 0.000 0.000 1
Cd1 0.000 0.000 0.500 1
P1 0.154 0.500 0.236 1
O1 0.047 0.261 0.217 1
O2 0.231 0.000 0.934 1
O3 0.243 0.500 0.422 1
```

Values from the calculation:
N(E_F) = 1.8 states/eV/cell
V = 320.5 Å³ per cell
formation energy without anion corrections = -2.1049 eV/atom

Record 7
This record from the Alexandria database describes BaY2HfV after structural relaxation. The functional is GGA-PBE.

```
data_BaY2HfV
_chemical_formula_sum 'Ba1 Y2 Hf1 V1'
_cell_length_a 5.515
_cell_length_b 5.515
_cell_length_c 5.350
_cell_angle_alpha 90.00
_cell_angle_beta 90.00
_cell_angle_gamma 90.00
_symmetry_space_group_name_H-M 'P 4/m m m'
_symmetry_Int_Tables_number 123
_symmetry_space_group_name_Hall '-P 4 2'
loop_
_atom_site_label
_atom_site_fract_x
_atom_site_fract_y
_atom_site_fract_z
_atom_site_occupancy
Ba1 0.000 0.000 0.000 1
Y1 0.000 0.500 0.000 1
Hf1 0.000 0.000 0.500 1
V1 0.500 0.500 0.500 1
```

Values from the calculation:
N(E_F) = 8.3 states/eV/cell
energy of formation from the pure elements = 1.96 eV per atom
V = 162.7 Å³ per cell

Record 8
This record from the Alexandria database describes PmPrBiPd after structural relaxation. The functional is GGA-PBE.

```
data_PmPrBiPd
_chemical_formula_sum 'Pm4 Pr4 Bi4 Pd4'
_cell_length_a 7.616
_cell_length_b 7.616
_cell_length_c 7.616
_cell_angle_alpha 90.00
_cell_angle_beta 90.00
_cell_angle_gamma 90.00
_symmetry_space_group_name_H-M 'F -4 3 m'
_symmetry_Int_Tables_number 216
_symmetry_space_group_name_Hall 'F -4 2 3'
loop_
_atom_site_label
_atom_site_fract_x
_atom_site_fract_y
_atom_site_fract_z
_atom_site_occupancy
Pm1 0.000 0.000 0.000 1
Pr1 0.000 0.000 0.500 1
Bi1 0.250 0.250 0.250 1
Pd1 0.250 0.250 0.750 1
```

Values from the calculation:
N(E_F) = 12.7 states/eV/cell
energy of formation from the pure elements = -0.66 eV per atom
V = 441.7 Å³ per cell

Record 9
This record from the Alexandria database describes ScOs2Pb2 after structural relaxation. The functional is GGA-PBE.

```
data_ScOs2Pb2
_chemical_formula_sum 'Sc2 Os4 Pb4'
_cell_length_a 3.635
_cell_length_b 3.635
_cell_length_c 17.102
_cell_angle_alpha 90.00
_cell_angle_beta 90.00
_cell_angle_gamma 90.00
_symmetry_space_group_name_H-M 'I 4/m m m'
_symmetry_Int_Tables_number 139
_symmetry_space_group_name_Hall '-I 4 2'
loop_
_atom_site_label
_atom_site_fract_x
_atom_site_fract_y
_atom_site_fract_z
_atom_site_occupancy
Sc1 0.000 0.000 0.000 1
Os1 0.000 0.500 0.250 1
Pb1 0.000 0.000 0.386 1
```

Values from the calculation:
N(E_F) = 14.2 states/eV/cell
energy of formation from the pure elements = 0.69 eV per atom
energy relative to the lowest polymorph listed for this composition = 6.83 kJ/mol of atoms
V = 226.0 Å³ per cell

Record 10
This record from the Alexandria database describes Mg2MnTl after structural relaxation. The functional is GGA-PBE.

```
data_Mg2MnTl
_chemical_formula_sum 'Mg8 Mn4 Tl4'
_cell_length_a 6.890
_cell_length_b 6.890
_cell_length_c 6.890
_cell_angle_alpha 90.00
_cell_angle_beta 90.00
_cell_angle_gamma 90.00
_symmetry_space_group_name_H-M 'F -4 3 m'
_symmetry_Int_Tables_number 216
_symmetry_space_group_name_Hall 'F -4 2 3'
loop_
_atom_site_label
_atom_site_fract_x
_atom_site_fract_y
_atom_site_fract_z
_atom_site_occupancy
Mg1 0.000 0.000 0.000 1
Mg2 0.250 0.250 0.250 1
Mn1 0.000 0.000 0.500 1
Tl1 0.250 0.250 0.750 1
```

Values from the calculation:
N(E_F) = 8.4 states/eV/cell
energy of formation from the pure elements = 0.23 eV per atom
energy relative to the lowest polymorph listed for this composition = 7.14 kJ/mol of atoms
V = 327.1 Å³ per cell

Record 11
This record from the Alexandria database describes V2HOsW after structural relaxation. The functional is GGA-PBE.

```
data_V2HOsW
_chemical_formula_sum 'V2 H1 Os1 W1'
_cell_length_a 3.837
_cell_length_b 3.837
_cell_length_c 4.064
_cell_angle_alpha 90.00
_cell_angle_beta 90.00
_cell_angle_gamma 90.00
_symmetry_space_group_name_H-M 'P 4/m m m'
_symmetry_Int_Tables_number 123
_symmetry_space_group_name_Hall '-P 4 2'
loop_
_atom_site_label
_atom_site_fract_x
_atom_site_fract_y
_atom_site_fract_z
_atom_site_occupancy
V1 0.000 0.500 0.000 1
H1 0.000 0.000 0.000 1
Os1 0.500 0.500 0.500 1
W1 0.000 0.000 0.500 1
```

Values from the calculation:
N(E_F) = 6.1 states/eV/cell
energy relative to the lowest polymorph listed for this composition = 3.51 kJ/mol of atoms
V = 59.8 Å³ per cell

Record 12
This record from the Alexandria database describes RbTbMgBr6 after structural relaxation. The functional is GGA-PBE.

```
data_RbTbMgBr6
_chemical_formula_sum 'Rb2 Tb2 Mg2 Br12'
_cell_length_a 7.1897
_cell_length_b 7.1897
_cell_length_c 15.4421
_cell_angle_alpha 90.00
_cell_angle_beta 90.00
_cell_angle_gamma 120.00
_symmetry_space_group_name_H-M 'P -3 1 c'
_symmetry_Int_Tables_number 163
_symmetry_space_group_name_Hall '-P 3 2c'
loop_
_atom_site_label
_atom_site_fract_x
_atom_site_fract_y
_atom_site_fract_z
_atom_site_occupancy
Rb1 0.0000 0.0000 0.0000 1
Tb1 0.3333 0.6667 0.2500 1
Mg1 0.3333 0.6667 0.7500 1
Br1 0.0119 0.3799 0.6466 1
```

Values from the calculation:
N(E_F) = 0.0 states/eV/cell
V = 691.3 Å³ per cell
formation energy without anion corrections = -1.7378 eV/atom